Record 1
First-principles (PBE) data for a geometry-optimized BeNb2Al structure, as listed in Alexandria via LeMat-Bulk.

energy relative to the elements: 67 meV per atom
theoretical density: 5.98 g cm⁻³
M_tot: 0.000 μB per formula unit
distance to the lowest polymorph of the same formula: 287.6 meV per atom
calculated volume: 15.41 A^3/atom

abc: 6.270 6.270 6.270
angles: 90.00 90.00 90.00
Space group Fm-3m (No. 225)
Unique sites:
Be: 0.000 0.000 0.000
Nb: 0.250 0.250 0.250
Al: 0.000 0.000 0.500

---

Record 2
First-principles (PBE) data for a geometry-optimized ZnMoAu2 structure, as listed in Alexandria via LeMat-Bulk.

energy relative to the elements: 52 meV per atom
theoretical density: 14.02 g cm⁻³
M_tot: 0.000 μB per formula unit
calculated volume: 16.44 A^3/atom

abc: 2.812 2.812 8.319
angles: 90.00 90.00 90.00
Space group P4mm (No. 99)
Unique sites:
Zn: 0.000 0.000 0.000
Mo: 0.500 0.500 0.766
Au: 0.000 0.000 0.517
Au: 0.500 0.500 0.239

---

Record 3
First-principles (PBE) data for a geometry-optimized Li4TlHg7 structure, as listed in Alexandria via LeMat-Bulk.

energy relative to the elements: -225 meV per atom
theoretical density: 10.33 g cm⁻³
M_tot: 0.000 μB per formula unit
calculated volume: 21.91 A^3/atom

abc: 4.857 7.328 7.810
angles: 91.06 90.80 108.87
Space group P-1 (No. 2)
Unique sites:
Li: 0.117 0.236 0.077
Li: 0.334 0.668 0.205
Tl: 0.500 0.000 0.500
Hg: 0.056 0.108 0.743
Hg: 0.180 0.360 0.425
Hg: 0.285 0.567 0.835
Hg: 0.500 0.000 0.000

---

Record 4
First-principles (PBE) data for a geometry-optimized KMg2I structure, as listed in Alexandria via LeMat-Bulk.

ΔE_f (raw): 53.7 meV/atom
theoretical density: 2.17 g cm⁻³
M_tot: 0.000 μB per formula unit
distance to the lowest polymorph of the same formula: 224.4 meV per atom
calculated volume: 41.11 A^3/atom

abc: 8.697 8.697 8.697
angles: 90.00 90.00 90.00
Space group Fm-3m (No. 225)
Unique sites:
K: 0.000 0.000 0.000
Mg: 0.250 0.250 0.250
I: 0.000 0.000 0.500

---

Q: What is the calculated volume in the first record?
A: 15.41 A^3/atom